(1)
VASP calculation (PBE-GGA) on a relaxed structure of TbHoSn4.

Lattice parameters (Å, degrees): 4.343 8.462 8.462 30.32 90.00 90.00
Fractional positions:
Ho (0.000, 0.599, 0.599)
Sn (0.500, 0.064, 0.064)
Sn (0.000, 0.248, 0.248)
Sn (0.500, 0.751, 0.751)
Sn (0.000, 0.937, 0.937)
Tb (0.500, 0.402, 0.402)

Calculated density: 8.4 Mg/m³
Crystal system: orthorhombic
Total DFT energy (no corrections): -4.795 eV per atom
Symmetry: No. 38


(2)
VASP calculation (PBE-GGA) on a relaxed structure of TbHoSn.

Lattice parameters (Å, degrees): 5.128 5.128 5.128 60.00 60.00 60.00
Fractional positions:
Ho (0.250, 0.250, 0.250)
Sn (0.000, 0.000, 0.000)
Tb (0.750, 0.750, 0.750)

Calculated density: 7.7 Mg/m³
Crystal system: cubic
Total DFT energy (no corrections): -4.794 eV per atom
Symmetry: No. 216


(3)
VASP calculation (PBE-GGA) on a relaxed structure of HoTcSn.

Lattice parameters (Å, degrees): 4.766 4.766 4.766 60.00 60.00 60.00
Fractional positions:
Ho (0.000, 0.000, 0.000)
Sn (0.250, 0.250, 0.250)
Tc (0.750, 0.750, 0.750)

Calculated density: 8.3 Mg/m³
Crystal system: cubic
Total DFT energy (no corrections): -5.511 eV per atom
Symmetry: No. 216


(4)
VASP calculation (PBE-GGA) on a relaxed structure of HoTmSnTe3.

Lattice parameters (Å, degrees): 7.878 7.878 11.891 90.00 90.00 148.40
Fractional positions:
Ho (0.500, 0.500, 0.000)
Ho (0.500, 0.500, 0.500)
Sn (0.717, 0.283, 0.250)
Sn (0.283, 0.717, 0.750)
Te (0.144, 0.856, 0.030)
Te (0.420, 0.580, 0.250)
Te (0.144, 0.856, 0.470)
Te (0.856, 0.144, 0.530)
Te (0.580, 0.420, 0.750)
Te (0.856, 0.144, 0.970)
Tm (0.055, 0.945, 0.250)
Tm (0.945, 0.055, 0.750)

Calculated density: 7.2 Mg/m³
Crystal system: orthorhombic
Total DFT energy (no corrections): -4.563 eV per atom
Symmetry: No. 63


(5)
VASP calculation (PBE-GGA) on a relaxed structure of HoTmSn4.

Lattice parameters (Å, degrees): 4.337 8.418 8.418 30.36 90.00 90.00
Fractional positions:
Ho (0.500, 0.402, 0.402)
Sn (0.500, 0.065, 0.065)
Sn (0.000, 0.248, 0.248)
Sn (0.500, 0.751, 0.751)
Sn (0.000, 0.936, 0.936)
Tm (0.000, 0.598, 0.598)

Calculated density: 8.6 Mg/m³
Crystal system: orthorhombic
Total DFT energy (no corrections): -4.736 eV per atom
Symmetry: No. 38


(6)
VASP calculation (PBE-GGA) on a relaxed structure of HoTmZn2Sn2.

Lattice parameters (Å, degrees): 4.480 4.480 15.701 90.00 90.00 120.00
Fractional positions:
Ho (0.000, 0.000, 0.000)
Ho (0.000, 0.000, 0.500)
Sn (0.667, 0.333, 0.113)
Sn (0.667, 0.333, 0.387)
Sn (0.333, 0.667, 0.613)
Sn (0.333, 0.667, 0.887)
Tm (0.000, 0.000, 0.250)
Tm (0.000, 0.000, 0.750)
Zn (0.333, 0.667, 0.161)
Zn (0.333, 0.667, 0.339)
Zn (0.667, 0.333, 0.661)
Zn (0.667, 0.333, 0.839)

Calculated density: 8.5 Mg/m³
Crystal system: hexagonal
Total DFT energy (no corrections): -3.817 eV per atom
Symmetry: No. 194